# 1
The following is a GGA-PBE calculation of a relaxed SrSe2I2 crystal, from Alexandria via LeMat-Bulk.

Summary:
As for the raw total energy: -3.0314 eV per atom. Its total magnetic moment is 0.0 μB/cell. The polymorph energy (0 for the lowest one) is 0.56 eV per formula unit. Its formation energy from raw total energies is -0.681 eV per atom.

Lattice parameters (Å, degrees): 8.1065 8.1065 5.2396 90.00 90.00 90.00
Space group P4/mbm (No. 127)
Inequivalent atoms, fractional coordinates:
Sr  0.0000  0.0000  0.0000
Se  0.0985  0.4015  0.0000
I  0.2342  0.7342  0.5000

# 2
The following is a GGA-PBE calculation of a relaxed SrTeSeI2 crystal, from Alexandria via LeMat-Bulk.

Summary:
As for the raw total energy: -2.7770 eV per atom. Its total magnetic moment is 0.0 μB/cell. The polymorph energy (0 for the lowest one) is 0.00 eV per formula unit. Its formation energy from raw total energies is -0.495 eV per atom.

Lattice parameters (Å, degrees): 5.7635 5.7635 5.6804 90.00 90.00 90.00
Space group P4/mmm (No. 123)
Inequivalent atoms, fractional coordinates:
Sr  0.0000  0.0000  0.0000
Te  0.5000  0.5000  0.0000
Se  0.5000  0.5000  0.5000
I  0.0000  0.5000  0.5000

# 3
The following is a GGA-PBE calculation of a relaxed Sr4Te2SeI crystal, from Alexandria via LeMat-Bulk.

Summary:
As for the raw total energy: -3.9127 eV per atom. Its total magnetic moment is 0.0 μB/cell. Its formation energy from raw total energies is -1.657 eV per atom.

Lattice parameters (Å, degrees): 8.0166 4.6656 8.1230 90.00 109.49 90.00
Space group P2/m (No. 10)
Inequivalent atoms, fractional coordinates:
Sr  0.2442  0.0000  0.2330
Sr  0.2549  0.5000  0.7677
Te  0.5000  0.0000  0.0000
Te  0.5000  0.5000  0.5000
Se  0.0000  0.5000  0.0000
I  0.0000  0.0000  0.5000

# 4
The following is a GGA-PBE calculation of a relaxed SrTe2SeI crystal, from Alexandria via LeMat-Bulk.

Summary:
As for the raw total energy: -2.3816 eV per atom. Its total magnetic moment is 5.0 μB/cell. The polymorph energy (0 for the lowest one) is 3.43 eV per formula unit. Its formation energy from raw total energies is 0.218 eV per atom.

Lattice parameters (Å, degrees): 6.4882 6.4882 6.3216 90.00 90.00 90.00
Space group P4/mmm (No. 123)
Inequivalent atoms, fractional coordinates:
Sr  0.0000  0.0000  0.0000
Te  0.0000  0.5000  0.0000
Se  0.5000  0.5000  0.5000
I  0.0000  0.0000  0.5000

# 5
The following is a GGA-PBE calculation of a relaxed SrTe2SeI crystal, from Alexandria via LeMat-Bulk.

Summary:
As for the raw total energy: -3.0669 eV per atom. Its total magnetic moment is 0.0 μB/cell. The polymorph energy (0 for the lowest one) is 0.00 eV per formula unit. Its formation energy from raw total energies is -0.467 eV per atom.

Lattice parameters (Å, degrees): 5.5539 5.5539 5.7943 90.00 90.00 90.00
Space group P4/mmm (No. 123)
Inequivalent atoms, fractional coordinates:
Sr  0.0000  0.0000  0.0000
Te  0.0000  0.5000  0.5000
Se  0.5000  0.5000  0.5000
I  0.5000  0.5000  0.0000

# 6
The following is a GGA-PBE calculation of a relaxed SrTeSeI2 crystal, from Alexandria via LeMat-Bulk.

Summary:
As for the raw total energy: -2.3679 eV per atom. Its total magnetic moment is 4.0 μB/cell. The polymorph energy (0 for the lowest one) is 2.05 eV per formula unit. Its formation energy from raw total energies is -0.086 eV per atom.

Lattice parameters (Å, degrees): 6.3730 6.3730 6.6170 90.00 90.00 90.00
Space group P4/mmm (No. 123)
Inequivalent atoms, fractional coordinates:
Sr  0.0000  0.0000  0.0000
Te  0.0000  0.0000  0.5000
Se  0.5000  0.5000  0.5000
I  0.0000  0.5000  0.0000

# 7
The following is a GGA-PBE calculation of a relaxed Sr4TeSe2I crystal, from Alexandria via LeMat-Bulk.

Summary:
As for the raw total energy: -4.0534 eV per atom. Its total magnetic moment is 0.0 μB/cell. Its formation energy from raw total energies is -1.755 eV per atom.

Lattice parameters (Å, degrees): 7.8773 4.5625 8.0208 90.00 109.10 90.00
Space group P2/m (No. 10)
Inequivalent atoms, fractional coordinates:
Sr  0.2324  0.0000  0.2208
Sr  0.2499  0.5000  0.7727
Te  0.0000  0.0000  0.5000
Se  0.0000  0.5000  0.0000
Se  0.5000  0.0000  0.0000
I  0.5000  0.5000  0.5000

# 8
The following is a GGA-PBE calculation of a relaxed SrTlSeI crystal, from Alexandria via LeMat-Bulk.

Summary:
As for the raw total energy: -3.5885 eV per atom. Its total magnetic moment is 0.0 μB/cell. Its formation energy from raw total energies is -1.318 eV per atom.

Lattice parameters (Å, degrees): 4.5770 4.5770 25.5218 90.00 90.00 120.00
Space group R3m (No. 160, hexagonal axes)
Inequivalent atoms, fractional coordinates:
Sr  0.0000  0.0000  0.0000
Tl  0.0000  0.0000  0.1990
Se  0.0000  0.0000  0.6040
I  0.0000  0.0000  0.4149

# 9
The following is a GGA-PBE calculation of a relaxed SrVSeI2 crystal, from Alexandria via LeMat-Bulk.

Summary:
As for the raw total energy: -4.2303 eV per atom. Its total magnetic moment is 3.0 μB/cell. Its formation energy from raw total energies is -0.753 eV per atom.

Lattice parameters (Å, degrees): 5.6587 5.6587 4.9689 90.00 90.00 90.00
Space group P4/mmm (No. 123)
Inequivalent atoms, fractional coordinates:
Sr  0.0000  0.0000  0.0000
V  0.5000  0.5000  0.5000
Se  0.5000  0.5000  0.0000
I  0.0000  0.5000  0.5000

# 10
The following is a GGA-PBE calculation of a relaxed SrVSe2I crystal, from Alexandria via LeMat-Bulk.

Summary:
As for the raw total energy: -4.5416 eV per atom. Its total magnetic moment is 2.2 μB/cell. Its formation energy from raw total energies is -0.678 eV per atom.

Lattice parameters (Å, degrees): 4.7938 4.7938 6.8431 90.00 90.00 90.00
Space group P4/mmm (No. 123)
Inequivalent atoms, fractional coordinates:
Sr  0.0000  0.0000  0.0000
V  0.0000  0.0000  0.5000
Se  0.0000  0.5000  0.5000
I  0.5000  0.5000  0.0000

# 11
The following is a GGA-PBE calculation of a relaxed Ta2SeI8 crystal, from Alexandria via LeMat-Bulk.

Summary:
As for the raw total energy: -4.0103 eV per atom. Its total magnetic moment is 0.0 μB/cell. Its formation energy from raw total energies is -0.411 eV per atom.

Lattice parameters (Å, degrees): 18.3141 9.1285 7.9256 90.00 110.21 90.00
Space group C2/m (No. 12)
Inequivalent atoms, fractional coordinates:
Ta  0.1441  0.0000  0.1004
Se  0.0000  0.0000  0.0000
I  0.1378  0.0000  0.7603
I  0.1444  0.2551  0.2665
I  0.1976  0.5000  0.7794

# 12
The following is a GGA-PBE calculation of a relaxed Ta3SeI crystal, from Alexandria via LeMat-Bulk.

Summary:
As for the raw total energy: -6.8975 eV per atom. Its total magnetic moment is 0.0 μB/cell. The polymorph energy (0 for the lowest one) is 0.00 eV per formula unit. Its formation energy from raw total energies is 1.221 eV per atom.

Lattice parameters (Å, degrees): 4.8223 4.8223 4.8223 90.00 90.00 90.00
Space group Pm-3m (No. 221)
Inequivalent atoms, fractional coordinates:
Ta  0.0000  0.0000  0.5000
Se  0.0000  0.0000  0.0000
I  0.5000  0.5000  0.5000

# 13
The following is a GGA-PBE calculation of a relaxed Ta2Se4I3 crystal, from Alexandria via LeMat-Bulk.

Summary:
As for the raw total energy: -5.1790 eV per atom. Its total magnetic moment is 0.0 μB/cell. Its formation energy from raw total energies is -0.480 eV per atom.

Lattice parameters (Å, degrees): 18.5735 11.4080 6.5615 90.00 91.15 90.00
Space group C2/c (No. 15)
Inequivalent atoms, fractional coordinates:
Ta  0.2469  0.0993  0.0085
Se  0.1664  0.2430  0.8479
Se  0.1813  0.0724  0.3309
I  0.0000  0.0023  0.2500
I  0.1510  0.4222  0.3176

# 14
The following is a GGA-PBE calculation of a relaxed TaSeI crystal, from Alexandria via LeMat-Bulk.

Summary:
As for the raw total energy: -6.0764 eV per atom. Its total magnetic moment is 0.0 μB/cell. Its formation energy from raw total energies is -0.447 eV per atom.

Lattice parameters (Å, degrees): 13.2713 3.8822 8.0478 90.00 117.18 90.00
Space group C2/m (No. 12)
Inequivalent atoms, fractional coordinates:
Ta  0.1587  0.0000  0.4650
Se  0.1410  0.5000  0.2515
I  0.0923  0.0000  0.7507

# 15
The following is a GGA-PBE calculation of a relaxed TaSe3I crystal, from Alexandria via LeMat-Bulk.

Summary:
As for the raw total energy: -5.1772 eV per atom. Its total magnetic moment is 0.0 μB/cell. The polymorph energy (0 for the lowest one) is 0.00 eV per formula unit. Its formation energy from raw total energies is -0.406 eV per atom.

Lattice parameters (Å, degrees): 16.5726 13.3652 6.3662 90.00 105.33 90.00
Space group C2/c (No. 15)
Inequivalent atoms, fractional coordinates:
Ta  0.0000  0.0765  0.2500
Ta  0.0000  0.1900  0.7500
Se  0.0772  0.3648  0.8303
Se  0.0997  0.1885  0.4959
Se  0.1011  0.0697  0.9948
I  0.1948  0.3720  0.2146

# 16
The following is a GGA-PBE calculation of a relaxed TaSeI2 crystal, from Alexandria via LeMat-Bulk.

Summary:
As for the raw total energy: -4.7355 eV per atom. Its total magnetic moment is 4.0 μB/cell. The polymorph energy (0 for the lowest one) is 0.86 eV per formula unit. Its formation energy from raw total energies is -0.126 eV per atom.

Lattice parameters (Å, degrees): 10.4697 10.4697 4.9564 90.00 90.00 90.00
Space group I-42d (No. 122)
Inequivalent atoms, fractional coordinates:
Ta  0.0000  0.0000  0.0000
Se  0.0000  0.0000  0.5000
I  0.1036  0.2500  0.1250

# 17
The following is a GGA-PBE calculation of a relaxed Ta2SeI crystal, from Alexandria via LeMat-Bulk.

Summary:
As for the raw total energy: -6.6579 eV per atom. Its total magnetic moment is 0.0 μB/cell. The polymorph energy (0 for the lowest one) is 0.05 eV per formula unit. Its formation energy from raw total energies is 0.527 eV per atom.

Lattice parameters (Å, degrees): 4.6949 4.6949 16.9757 90.00 90.00 90.00
Space group I-42d (No. 122)
Inequivalent atoms, fractional coordinates:
Ta  0.1904  0.2500  0.1250
Se  0.0000  0.0000  0.0000
I  0.0000  0.0000  0.5000

# 18
The following is a GGA-PBE calculation of a relaxed Ta3Se12I crystal, from Alexandria via LeMat-Bulk.

Summary:
As for the raw total energy: -5.4686 eV per atom. Its total magnetic moment is 0.0 μB/cell. Its formation energy from raw total energies is -0.536 eV per atom.

Lattice parameters (Å, degrees): 9.7613 9.7613 19.3406 90.00 90.00 90.00
Space group P4/mnc (No. 128)
Inequivalent atoms, fractional coordinates:
Ta  0.0000  0.5000  0.0803
Ta  0.0000  0.5000  0.2500
Se  0.0204  0.2806  0.0000
Se  0.0488  0.7096  0.1715
Se  0.1054  0.6950  0.5000
Se  0.1231  0.3171  0.3394
I  0.0000  0.0000  0.3658

# 19
The following is a GGA-PBE calculation of a relaxed TaSeI crystal, from Alexandria via LeMat-Bulk.

Summary:
As for the raw total energy: -6.2043 eV per atom. Its total magnetic moment is 0.0 μB/cell. Its formation energy from raw total energies is -0.575 eV per atom.

Lattice parameters (Å, degrees): 15.7139 3.5427 6.1307 90.00 101.71 90.00
Space group Cm (No. 8)
Inequivalent atoms, fractional coordinates:
Ta  0.0000  0.0000  0.0000
Ta  0.0000  0.5000  0.4535
Se  0.1119  0.5000  0.2023
Se  0.3880  0.0000  0.0859
I  0.1210  0.0000  0.7114
I  0.3789  0.5000  0.5853

# 20
The following is a GGA-PBE calculation of a relaxed TaSeI crystal, from Alexandria via LeMat-Bulk.

Summary:
As for the raw total energy: -6.2320 eV per atom. Its total magnetic moment is 0.0 μB/cell. Its formation energy from raw total energies is -0.603 eV per atom.

Lattice parameters (Å, degrees): 14.3027 3.6425 6.4792 90.00 93.61 90.00
Space group C2/m (No. 12)
Inequivalent atoms, fractional coordinates:
Ta  0.2430  0.0000  0.3244
Se  0.1201  0.5000  0.3931
I  0.1413  0.0000  0.9015